No. 1
RbHoCdS3: relaxed, PBE.

Computed properties:
The value obtained for the raw formation energy is -8.4 eV/f.u. As for the calculated total energy: -54.5 eV/cell.

Cell lengths 8.8932, 4.1308, 10.0661 Å; angles 90.00, 108.96, 90.00 degrees
With the nearest neighbours (Å) after each atom.
Positions (direct):
Rb 0.2172 0.2500 0.2330  5 S 3.37-3.52
Rb 0.7828 0.7500 0.7670  5 S 3.37-3.52
Ho 0.3326 0.7500 0.8674  5 S 2.66-2.79
Ho 0.6674 0.2500 0.1326  5 S 2.66-2.79
Cd 0.0859 0.2500 0.6136  4 S 2.49-2.69
Cd 0.9141 0.7500 0.3864  4 S 2.49-2.69
S 0.1220 0.2500 0.8694  1 Cd 2.49
S 0.2206 0.7500 0.5503  3 Cd 2.57-2.69
S 0.4692 0.7500 0.1450  3 Ho 2.66-2.74
S 0.5308 0.2500 0.8550  3 Ho 2.66-2.74
S 0.7794 0.2500 0.4497  3 Cd 2.57-2.69
S 0.8780 0.7500 0.1306  1 Cd 2.49


No. 2
Pa3Ni5N12: relaxed, PBE.

Computed properties:
The value obtained for the raw formation energy is -2.0 eV/f.u. As for the calculated total energy: -637.1 eV/cell.

Cell lengths 10.5978, 10.5978, 10.5978 Å; angles 109.47, 109.47, 109.47 degrees
With the nearest neighbours (Å) after each atom.
Positions (direct):
Pa 0.1250 0.2500 0.3750  8 N 2.28-2.46
Pa 0.1250 0.3750 0.7500  8 N 2.28-2.46
Pa 0.2500 0.3750 0.1250  8 N 2.28-2.46
Pa 0.2500 0.8750 0.6250  8 N 2.28-2.46
Pa 0.3750 0.1250 0.2500  8 N 2.28-2.46
Pa 0.3750 0.7500 0.1250  8 N 2.28-2.46
Pa 0.6250 0.2500 0.8750  8 N 2.28-2.46
Pa 0.6250 0.8750 0.7500  8 N 2.28-2.46
Pa 0.7500 0.1250 0.3750  8 N 2.28-2.46
Pa 0.7500 0.6250 0.8750  8 N 2.28-2.46
Pa 0.8750 0.6250 0.2500  8 N 2.28-2.46
Pa 0.8750 0.7500 0.6250  8 N 2.28-2.46
Ni 0.0000 0.0000 0.0000  6 N 1.99
Ni 0.0000 0.0000 0.5000  6 N 1.99
Ni 0.0000 0.5000 0.0000  6 N 1.99
Ni 0.0000 0.5000 0.5000  6 N 1.99
Ni 0.1250 0.7500 0.8750  4 N 1.83
Ni 0.1250 0.8750 0.2500  4 N 1.83
Ni 0.2500 0.1250 0.8750  4 N 1.83
Ni 0.2500 0.6250 0.3750  4 N 1.83
Ni 0.3750 0.2500 0.6250  4 N 1.83
Ni 0.3750 0.6250 0.7500  4 N 1.83
Ni 0.5000 0.0000 0.0000  6 N 1.99
Ni 0.5000 0.0000 0.5000  6 N 1.99
Ni 0.5000 0.5000 0.0000  6 N 1.99
Ni 0.5000 0.5000 0.5000  6 N 1.99
Ni 0.6250 0.3750 0.2500  4 N 1.83
Ni 0.6250 0.7500 0.3750  4 N 1.83
Ni 0.7500 0.3750 0.6250  4 N 1.83
Ni 0.7500 0.8750 0.1250  4 N 1.83
Ni 0.8750 0.1250 0.7500  4 N 1.83
Ni 0.8750 0.2500 0.1250  4 N 1.83
N 0.0273 0.2040 0.1271  2 Ni 1.83-1.99
N 0.0273 0.3234 0.9003  2 Ni 1.83-1.99
N 0.0769 0.7040 0.6766  2 Ni 1.83-1.99
N 0.0769 0.8729 0.4003  2 Ni 1.83-1.99
N 0.0997 0.6271 0.4231  2 Ni 1.83-1.99
N 0.0997 0.9727 0.6766  2 Ni 1.83-1.99
N 0.1271 0.0273 0.2040  2 Ni 1.83-1.99
N 0.1271 0.5997 0.9231  2 Ni 1.83-1.99
N 0.1766 0.2040 0.5769  2 Ni 1.83-1.99
N 0.1766 0.4727 0.5997  2 Ni 1.83-1.99
N 0.2040 0.1271 0.0273  2 Ni 1.83-1.99
N 0.2040 0.5769 0.1766  2 Ni 1.83-1.99
N 0.2960 0.3234 0.9231  2 Ni 1.83-1.99
N 0.2960 0.4727 0.3729  2 Ni 1.83-1.99
N 0.3234 0.9003 0.0273  2 Ni 1.83-1.99
N 0.3234 0.9231 0.2960  2 Ni 1.83-1.99
N 0.3729 0.2960 0.4727  2 Ni 1.83-1.99
N 0.3729 0.5769 0.9003  2 Ni 1.83-1.99
N 0.4003 0.0769 0.8729  2 Ni 1.83-1.99
N 0.4003 0.8234 0.5273  2 Ni 1.83-1.99
N 0.4231 0.0997 0.6271  2 Ni 1.83-1.99
N 0.4231 0.8234 0.7960  2 Ni 1.83-1.99
N 0.4727 0.3729 0.2960  2 Ni 1.83-1.99
N 0.4727 0.5997 0.1766  2 Ni 1.83-1.99
N 0.5273 0.4003 0.8234  2 Ni 1.83-1.99
N 0.5273 0.6271 0.7040  2 Ni 1.83-1.99
N 0.5769 0.1766 0.2040  2 Ni 1.83-1.99
N 0.5769 0.9003 0.3729  2 Ni 1.83-1.99
N 0.5997 0.1766 0.4727  2 Ni 1.83-1.99
N 0.5997 0.9231 0.1271  2 Ni 1.83-1.99
N 0.6271 0.4231 0.0997  2 Ni 1.83-1.99
N 0.6271 0.7040 0.5273  2 Ni 1.83-1.99
N 0.6766 0.0769 0.7040  2 Ni 1.83-1.99
N 0.6766 0.0997 0.9727  2 Ni 1.83-1.99
N 0.7040 0.5273 0.6271  2 Ni 1.83-1.99
N 0.7040 0.6766 0.0769  2 Ni 1.83-1.99
N 0.7960 0.4231 0.8234  2 Ni 1.83-1.99
N 0.7960 0.8729 0.9727  2 Ni 1.83-1.99
N 0.8234 0.5273 0.4003  2 Ni 1.83-1.99
N 0.8234 0.7960 0.4231  2 Ni 1.83-1.99
N 0.8729 0.4003 0.0769  2 Ni 1.83-1.99
N 0.8729 0.9727 0.7960  2 Ni 1.83-1.99
N 0.9003 0.0273 0.3234  2 Ni 1.83-1.99
N 0.9003 0.3729 0.5769  2 Ni 1.83-1.99
N 0.9231 0.1271 0.5997  2 Ni 1.83-1.99
N 0.9231 0.2960 0.3234  2 Ni 1.83-1.99
N 0.9727 0.6766 0.0997  2 Ni 1.83-1.99
N 0.9727 0.7960 0.8729  2 Ni 1.83-1.99


No. 3
Mg2BePb: relaxed, PBE.

Computed properties:
Its polymorph energy (0 for the lowest one) is 5.4 meV/atom. The formation energy is 0.5 eV per formula unit. As for the calculated total energy: -20.2 eV/cell.

Cell lengths 4.9002, 5.3040, 7.5219 Å; angles 88.78, 80.38, 63.29 degrees
With the nearest neighbours (Å) after each atom.
Positions (direct):
Mg 0.0113 0.1329 0.1939  2 Be 2.67-2.68, 1 Pb 2.98
Mg 0.2815 0.4945 0.3833  4 Be 2.77-2.86, 2 Mg 2.99-3.01
Mg 0.7185 0.5055 0.6167  4 Be 2.77-2.86, 2 Mg 2.99-3.01
Mg 0.9887 0.8671 0.8061  2 Be 2.67-2.68, 1 Pb 2.98
Be 0.2448 0.0021 0.4989  2 Be 2.41-2.49, 2 Mg 2.67-2.68
Be 0.7552 0.9979 0.5011  2 Be 2.41-2.49, 2 Mg 2.67-2.68
Pb 0.3049 0.2392 0.8073  2 Be 2.77-2.78, 3 Mg 2.98-3.03
Pb 0.6951 0.7608 0.1927  2 Be 2.77-2.78, 3 Mg 2.98-3.03